No. 1
BaYSi2 (GGA-PBEsol, relaxed); space group = Imm2; formation energy from raw total energies = -0.4714 eV/atom; DOS at the Fermi energy = 2.31 states/eV/f.u.; relative energy among the computed polymorphs = 0.22 eV per formula unit; total magnetization = 0.00 μB/f.u.; density = 4.46 g/cm³
1.0
-3.061 -1.067 -2.007
2.683 -1.795 -3.138
0.099 -3.923 5.558
Ba Si Y
1 2 1
direct
0.279 0.779 0.559 Ba
0.040 0.040 0.080 Si
0.666 0.166 0.332 Si
0.515 0.515 0.030 Y



No. 2
BaYSi2 (GGA-PBEsol, relaxed); space group = I4/mmm; formation energy from raw total energies = -0.1963 eV/atom; DOS at the Fermi energy = 1.80 states/eV/f.u.; relative energy among the computed polymorphs = 1.32 eV per formula unit; total magnetization = 0.00 μB/f.u.; density = 4.73 g/cm³
1.0
4.936 0.000 0.000
-2.468 4.761 0.003
0.000 2.556 4.223
Ba Si Y
1 2 1
direct
0.500 0.000 0.500 Ba
0.250 0.500 0.250 Si
0.750 0.500 0.750 Si
0.000 0.000 0.000 Y



No. 3
Ba3YSi (GGA-PBEsol, relaxed); space group = Pm-3m; formation energy from raw total energies = 0.9594 eV/atom; DOS at the Fermi energy = 9.22 states/eV/f.u.; total magnetization = 0.01 μB/f.u.; density = 3.86 g/cm³
1.0
6.106 0.000 0.000
0.000 6.106 0.000
0.000 0.000 6.106
Y Si Ba
1 1 3
direct
0.000 0.000 0.000 Y
0.500 0.500 0.500 Si
0.000 0.500 0.000 Ba
0.000 0.000 0.500 Ba
0.500 0.000 0.000 Ba



No. 4
BaYSi2 (GGA-PBEsol, relaxed); space group = C2/m; formation energy from raw total energies = -0.4081 eV/atom; DOS at the Fermi energy = 3.66 states/eV/f.u.; relative energy among the computed polymorphs = 0.47 eV per formula unit; total magnetization = 0.01 μB/f.u.; density = 4.15 g/cm³
1.0
3.956 0.000 0.000
-1.978 4.817 0.010
0.000 -2.545 5.929
Ba Si Y
1 2 1
direct
0.000 0.000 0.500 Ba
0.761 0.522 0.892 Si
0.239 0.478 0.108 Si
0.500 0.000 0.000 Y



No. 5
BaYSi2 (GGA-PBEsol, relaxed); space group = P4/mmm; formation energy from raw total energies = -0.5265 eV/atom; DOS at the Fermi energy = 2.35 states/eV/f.u.; relative energy among the computed polymorphs = 0.00 eV per formula unit; total magnetization = 0.00 μB/f.u.; density = 4.61 g/cm³
1.0
3.839 0.000 0.000
0.000 3.839 0.000
0.000 0.000 6.901
Ba Si Y
1 2 1
direct
0.500 0.500 0.500 Ba
0.000 0.000 0.827 Si
0.000 0.000 0.173 Si
0.500 0.500 0.000 Y



No. 6
BaZnSi (GGA-PBEsol, relaxed); space group = P6_3/mmc; formation energy from raw total energies = -0.3827 eV/atom; DOS at the Fermi energy = 1.06 states/eV/f.u.; total magnetization = 0.00 μB/f.u.; density = 4.92 g/cm³
1.0
4.298 0.000 0.000
-2.149 3.722 0.000
0.000 0.000 19.476
Zn Si Ba
4 4 4
direct
0.667 0.333 0.876 Zn
0.333 0.667 0.376 Zn
0.667 0.333 0.624 Zn
0.333 0.667 0.124 Zn
0.333 0.667 0.625 Si
0.667 0.333 0.125 Si
0.667 0.333 0.375 Si
0.333 0.667 0.875 Si
0.000 0.000 0.000 Ba
0.000 0.000 0.250 Ba
0.000 0.000 0.500 Ba
0.000 0.000 0.750 Ba